Record 1
! Tl2AgPd6, optimized geometry, DFT PBE-GGA; values from VASP
! energy of formation = -0.1394 eV per atom
! E_tot = -4.44 eV per atom
&SYSTEM
  ibrav = 0, nat = 9, ntyp = 3
/
ATOMIC_SPECIES
Pd 106.42 Pd.upf
Tl 204.38 Tl.upf
Ag 107.87 Ag.upf
CELL_PARAMETERS angstrom
4.768 0.000 0.000
-2.384 3.835 -0.213
0.000 -0.471 8.497
ATOMIC_POSITIONS crystal
Pd 0.671 0.342 0.609
Pd 0.995 0.989 0.164
Pd 0.671 0.341 0.947
Pd 0.005 0.011 0.836
Pd 0.329 0.658 0.391
Pd 0.329 0.659 0.053
Tl 0.340 0.680 0.729
Tl 0.660 0.320 0.271
Ag 0.000 0.000 0.500


Record 2
! TlAg4Pd3, optimized geometry, DFT PBE-GGA; values from VASP
! energy of formation = -0.0165 eV per atom
! E_tot = -3.69 eV per atom
&SYSTEM
  ibrav = 0, nat = 8, ntyp = 3
/
ATOMIC_SPECIES
Ag 107.87 Ag.upf
Pd 106.42 Pd.upf
Tl 204.38 Tl.upf
CELL_PARAMETERS angstrom
2.977 0.000 0.000
0.000 4.555 -1.803
-1.489 -5.954 12.778
ATOMIC_POSITIONS crystal
Ag 0.867 0.594 0.734
Ag 0.629 0.893 0.257
Ag 0.133 0.406 0.266
Ag 0.371 0.107 0.743
Pd 0.000 0.500 0.000
Pd 0.752 0.754 0.503
Pd 0.248 0.246 0.497
Tl 0.500 0.000 0.000


Record 3
! Tl2Ag3Pd3, optimized geometry, DFT PBE-GGA; values from VASP
! energy of formation = -0.0876 eV per atom
! E_tot = -3.70 eV per atom
&SYSTEM
  ibrav = 0, nat = 8, ntyp = 3
/
ATOMIC_SPECIES
Tl 204.38 Tl.upf
Pd 106.42 Pd.upf
Ag 107.87 Ag.upf
CELL_PARAMETERS angstrom
4.279 0.000 0.000
0.000 4.202 0.000
0.000 0.000 8.110
ATOMIC_POSITIONS crystal
Tl 0.000 0.000 0.259
Tl 0.000 0.000 0.741
Pd 0.000 0.500 0.500
Pd 0.500 0.000 0.500
Pd 0.000 0.500 0.000
Ag 0.500 0.000 0.000
Ag 0.500 0.500 0.747
Ag 0.500 0.500 0.253


Record 4
! TlAgPd3, optimized geometry, DFT PBE-GGA; values from VASP
! energy above the most stable polymorph in this dataset = 0.850 eV/atom
! energy of formation = 0.7663 eV per atom
! E_tot = -3.39 eV per atom
&SYSTEM
  ibrav = 0, nat = 5, ntyp = 3
/
ATOMIC_SPECIES
Pd 106.42 Pd.upf
Tl 204.38 Tl.upf
Ag 107.87 Ag.upf
CELL_PARAMETERS angstrom
4.974 0.000 0.000
0.000 4.974 0.000
0.000 0.000 4.974
ATOMIC_POSITIONS crystal
Pd 0.000 0.000 0.500
Pd 0.500 0.000 0.000
Pd 0.000 0.500 0.000
Tl 0.500 0.500 0.500
Ag 0.000 0.000 0.000